## FeHgGeS3 (PBE)

Data for an optimized crystal structure of FeHgGeS3.

Cell: 3.459 15.497 8.796 Å, 90.00 90.00 90.00°
Space group Cmcm (No. 63)
Unique sites:
Fe (0.000, 0.000, 0.000)
Hg (0.000, 0.287, 0.250)
Ge (0.000, 0.358, 0.750)
S (0.000, 0.035, 0.250)
S (0.000, 0.404, 0.024)

Output
* calculated total energy: -4.4876 eV per atom
* excess energy over the best structure of this formula in the dataset: 0.0 meV per atom
* magnetic moment: 1.81 μB/cell